The following is a DFT calculation (GGA+U) of a relaxed TmNiAgF6 crystal.

- E (eV/atom) = -5.09

Cell lengths 5.635, 5.635, 10.097 Å; angles 90.00, 90.00, 120.00 degrees
Last column: magnetic moment on the atom in μB.
Positions (direct):
Tm 0.333 0.667 0.250  0.00
Tm 0.667 0.333 0.750  0.00
Ni 0.667 0.333 0.250  1.82
Ni 0.333 0.667 0.750  1.82
Ag 0.000 0.000 0.000  -0.09
Ag 0.000 0.000 0.500  -0.09
F 0.640 0.624 0.141  0.02
F 0.984 0.360 0.141  0.02
F 0.360 0.984 0.641  0.02
F 0.016 0.640 0.859  0.02
F 0.376 0.360 0.359  0.02
F 0.984 0.624 0.359  0.02
F 0.624 0.984 0.859  0.02
F 0.640 0.016 0.359  0.02
F 0.016 0.376 0.641  0.02
F 0.376 0.016 0.141  0.02
F 0.624 0.640 0.641  0.02
F 0.360 0.376 0.859  0.02